Entry 1:
Pm3BiO2: optimized geometry, PBE.

crystal system	tetragonal
magnetization	0.00	μB per formula unit

Unit cell a=4.7130 b=4.7130 c=11.9286 alpha=90.00 beta=90.00 gamma=90.00
Closest atoms and distances in Å follow each position.
Fractional coordinates of all 12 atoms:
Pm 0.0000 0.0000 0.0000  2 O 2.41
Pm 0.0000 0.5000 0.2500  4 O 2.42
Pm 0.0000 0.5000 0.7500  4 O 2.42
Pm 0.5000 0.0000 0.2500  4 O 2.42
Pm 0.5000 0.0000 0.7500  4 O 2.42
Pm 0.5000 0.5000 0.5000  2 O 2.41
Bi 0.0000 0.0000 0.5000  4 Pm 3.33, 2 O 3.55
Bi 0.5000 0.5000 0.0000  4 Pm 3.33, 2 O 3.55
O 0.0000 0.0000 0.2023  5 Pm 2.41-2.42
O 0.0000 0.0000 0.7977  5 Pm 2.41-2.42
O 0.5000 0.5000 0.2977  5 Pm 2.41-2.42
O 0.5000 0.5000 0.7023  5 Pm 2.41-2.42

***

Entry 2:
Ni4OsSe: optimized geometry, PBE.

crystal system	cubic
magnetization	2.98	μB per formula unit

Unit cell a=4.7551 b=4.7551 c=4.7551 alpha=60.00 beta=60.00 gamma=60.00
Closest atoms and distances in Å follow each position.
Fractional coordinates of all 6 atoms:
Ni 0.1244 0.1244 0.1244  6 Ni 2.37-2.39
Ni 0.1244 0.1244 0.6267  6 Ni 2.37-2.39
Ni 0.1244 0.6267 0.1244  6 Ni 2.37-2.39
Ni 0.6267 0.1244 0.1244  6 Ni 2.37-2.39
Os 0.7500 0.7500 0.7500  12 Ni 2.79, 4 Se 2.91
Se 0.5000 0.5000 0.5000  12 Ni 2.79, 4 Os 2.91

***

What ΔE_f (raw) values result from the calculations? In sequence: -2.142 0.486 eV per atom.
What raw total energy values result from the calculations? In sequence: -6.82 -5.82 eV/atom.